Arrangement a

{"formula": "LiTlSbTe2", "functional": "PBE", "state": "optimized geometry", "cell": [[4.1963, 0.0000, 0.0000], [0.0000, 8.1637, 1.1382], [0.0000, -1.2195, 8.7289]], "species": ["Tl", "Tl", "Te", "Te", "Te", "Te", "Sb", "Sb", "Li", "Li"], "fractional_positions": [[0.0022, 0.5000, 0.7500], [0.9978, 0.5000, 0.2500], [0.5000, 0.2580, 0.5000], [0.5000, 0.7420, 0.0000], [0.5000, 0.7420, 0.5000], [0.5000, 0.2580, 0.0000], [0.5002, 0.0000, 0.7500], [0.4998, 0.0000, 0.2500], [0.0000, 0.0000, 0.0000], [0.0000, 0.0000, 0.5000]], "total_magnetization_mub_per_fu": 0.00, "sg": "Pmma (51)"}

Arrangement b

{"formula": "LiTlSbTe2", "functional": "PBE", "state": "optimized geometry", "cell": [[-5.9007, 0.6527, -0.3015], [-0.4773, -1.6917, 5.6785], [0.5116, 5.3866, 1.6477]], "species": ["Tl", "Li", "Te", "Te", "Sb"], "fractional_positions": [[0.0000, 0.0000, 0.0000], [0.5000, 0.5000, 0.5000], [0.5000, 0.0000, 0.0000], [0.0000, 0.5000, 0.0000], [0.0000, 0.0000, 0.5000]], "total_magnetization_mub_per_fu": 0.93, "sg": "P4/mmm (123)"}

arrangement a has the most favorable energy; the next structure is 782 meV per atom above.

Arrangement a

{"formula": "LiTlSb2Te", "functional": "PBE", "state": "optimized geometry", "cell": [[5.1134, 0.0000, 0.0000], [0.0000, 5.1134, 0.0000], [0.0000, 0.0000, 5.4568]], "species": ["Tl", "Sb", "Sb", "Li", "Te"], "fractional_positions": [[0.5000, 0.5000, 0.5000], [0.0000, 0.5000, 0.0000], [0.5000, 0.0000, 0.0000], [0.0000, 0.0000, 0.0000], [0.0000, 0.0000, 0.5000]], "total_magnetization_mub_per_fu": 0.00, "sg": "P4/mmm (123)"}

Arrangement b

{"formula": "LiTlSb2Te", "functional": "PBE", "state": "optimized geometry", "cell": [[-0.5040, 4.9474, -2.8381], [-4.9516, -1.7936, -2.2473], [-2.9628, 2.3617, 4.6431]], "species": ["Sb", "Sb", "Tl", "Te", "Li"], "fractional_positions": [[0.0000, 0.5000, 0.0000], [0.5000, 0.0000, 0.0000], [0.0000, 0.0000, 0.0000], [0.0000, 0.0000, 0.5000], [0.5000, 0.5000, 0.5000]], "total_magnetization_mub_per_fu": 1.00, "sg": "P4/mmm (123)"}

arrangement a has the most favorable energy; the next structure is 435 meV per atom above.

Arrangement a

{"formula": "LiVSbTe2", "functional": "PBE", "state": "optimized geometry", "cell": [[5.2793, 0.0000, 0.0000], [0.0000, 5.2793, 0.0000], [0.0000, 0.0000, 5.2090]], "species": ["Sb", "Li", "Te", "Te", "V"], "fractional_positions": [[0.0000, 0.0000, 0.5000], [0.5000, 0.5000, 0.5000], [0.0000, 0.5000, 0.0000], [0.5000, 0.0000, 0.0000], [0.0000, 0.0000, 0.0000]], "total_magnetization_mub_per_fu": 0.00, "sg": "P4/mmm (123)"}

Arrangement b

{"formula": "LiVSbTe2", "functional": "PBE", "state": "optimized geometry", "cell": [[5.1457, 0.0000, 0.0000], [0.0000, 5.1457, 0.0000], [0.0000, 0.0000, 4.7289]], "species": ["Li", "Te", "Te", "V", "Sb"], "fractional_positions": [[0.0000, 0.0000, 0.0000], [0.5000, 0.0000, 0.0000], [0.0000, 0.5000, 0.0000], [0.5000, 0.5000, 0.5000], [0.0000, 0.0000, 0.5000]], "total_magnetization_mub_per_fu": 0.15, "sg": "P4/mmm (123)"}

arrangement a has the most favorable energy; the next structure is 685 meV per atom above.

Arrangement a

{"formula": "LiYSbTe2", "functional": "PBE", "state": "optimized geometry", "cell": [[-4.7867, 2.2435, 0.4763], [-1.3866, -3.7089, 3.5346], [1.6486, 2.7643, 3.5473]], "species": ["Te", "Te", "Li", "Y", "Sb"], "fractional_positions": [[0.0000, 0.5000, 0.0000], [0.5000, 0.0000, 0.0000], [0.0000, 0.0000, 0.0000], [0.5000, 0.5000, 0.5000], [0.0000, 0.0000, 0.5000]], "total_magnetization_mub_per_fu": 0.00, "sg": "P4/mmm (123)"}

Arrangement b

{"formula": "LiYSbTe2", "functional": "PBE", "state": "optimized geometry", "cell": [[5.8926, 0.0000, 0.0000], [0.0000, 5.8926, 0.0000], [0.0000, 0.0000, 5.8415]], "species": ["Te", "Te", "Y", "Sb", "Li"], "fractional_positions": [[0.0000, 0.5000, 0.0000], [0.5000, 0.0000, 0.0000], [0.0000, 0.0000, 0.0000], [0.0000, 0.0000, 0.5000], [0.5000, 0.5000, 0.5000]], "total_magnetization_mub_per_fu": 0.54, "sg": "P4/mmm (123)"}

arrangement a has the most favorable energy; the next structure is 33 meV per atom above.